{"formula": "CoPbF3", "functional": "PBE+U", "state": "optimized geometry", "lattice": [[4.768, 0.000, 0.000], [0.000, 4.768, 0.000], [0.000, 0.000, 4.768]], "species": ["F", "F", "F", "Co", "Pb"], "frac_coords": [[0.500, 0.000, 0.000], [0.000, 0.000, 0.500], [0.000, 0.500, 0.000], [0.500, 0.500, 0.500], [0.000, 0.000, 0.000]], "energy_ev_per_atom": -4.041, "m_tot_mub_per_cell": 3.9}